(1)
Computed, not measured: Rb2CrCF6 after structural relaxation at the PBE with a Hubbard U level of DFT.

## Properties
VASP energy: -48.3 eV/f.u.
Density of states at the Fermi level: 0.00 states/eV/cell

CIF file:
```
data_Rb2CrCF6
_chemical_formula_sum 'Rb4 Cr2 C2 F12'
_cell_length_a 5.632
_cell_length_b 5.632
_cell_length_c 10.119
_cell_angle_alpha 90.00
_cell_angle_beta 90.00
_cell_angle_gamma 90.00
_symmetry_space_group_name_H-M 'I 4/m m m'
_symmetry_Int_Tables_number 139
_symmetry_space_group_name_Hall '-I 4 2'
loop_
_atom_site_label
_atom_site_type_symbol
_atom_site_fract_x
_atom_site_fract_y
_atom_site_fract_z
Rb1 Rb 0.000 0.500 0.250
Cr1 Cr 0.000 0.000 0.000
C1 C 0.000 0.000 0.500
F1 F 0.000 0.000 0.191
F2 F 0.248 0.248 0.000
```



(2)
Computed, not measured: MoAs2BrF after structural relaxation at the PBE with a Hubbard U level of DFT.

## Properties
VASP energy: -18.3 eV/f.u.
Density of states at the Fermi level: 2.25 states/eV/cell
Offset from the most stable computed form: 20 meV per atom

CIF file:
```
data_MoAs2BrF
_chemical_formula_sum 'Mo1 As2 Br1 F1'
_cell_length_a 4.347
_cell_length_b 4.347
_cell_length_c 5.631
_cell_angle_alpha 90.00
_cell_angle_beta 90.00
_cell_angle_gamma 90.00
_symmetry_space_group_name_H-M 'P 4/m m m'
_symmetry_Int_Tables_number 123
_symmetry_space_group_name_Hall '-P 4 2'
loop_
_atom_site_label
_atom_site_type_symbol
_atom_site_fract_x
_atom_site_fract_y
_atom_site_fract_z
Mo1 Mo 0.000 0.000 0.000
As1 As 0.000 0.500 0.500
Br1 Br 0.500 0.500 0.000
F1 F 0.500 0.500 0.500
```